No. 1
Below is a geometry-optimized AuC2 structure, with properties calculated at the PBE-GGA level.

a = 5.1827 Å, b = 5.1827 Å, c = 3.7932 Å
α = 90.00°, β = 90.00°, γ = 120.00°
With the nearest neighbours (Å) after each atom.
Fractional coordinates of all 6 atoms:
Au  0.3333  0.6667  0.2500  2 C 1.90
Au  0.6667  0.3333  0.7500  2 C 1.90
C  0.0000  0.0000  0.0000  2 C 1.90
C  0.0000  0.0000  0.5000  2 C 1.90
C  0.3333  0.6667  0.7500  2 Au 1.90
C  0.6667  0.3333  0.2500  2 Au 1.90

Computed properties:
DFT total energy (Ry/atom): -0.3078
Distance to the lowest polymorph of the same formula (eV per formula unit): 8.36
ΔH_f (0 K) (eV per formula unit): 9.2



No. 2
Below is a geometry-optimized SrUSb2 structure, with properties calculated at the PBE-GGA level.

a = 8.2351 Å, b = 8.2351 Å, c = 8.2351 Å
α = 31.69°, β = 31.69°, γ = 31.69°
With the nearest neighbours (Å) after each atom.
Fractional coordinates of all 4 atoms:
Sr  0.0000  0.0000  0.0000  6 Sb 3.36-3.44
U  0.1706  0.1706  0.1706  6 Sb 3.10-3.13
Sb  0.5759  0.5759  0.5759  3 U 3.10, 3 Sr 3.36
Sb  0.7630  0.7630  0.7630  3 U 3.13, 3 Sr 3.44

Computed properties:
DFT total energy (Ry/atom): -0.4280
Distance to the lowest polymorph of the same formula (eV per formula unit): 0.24
Formation energy (no corrections) (eV per atom): -0.519



| no. | size of the total moment (μB/atom) |
| --- | --- |
| 1 | 0.000 |
| 2 | 0.499 |